1.
A relaxed structure of TbHo2Tm6. Source: Alexandria, functional GGA-PBE.

Unit cell a=6.4464 b=9.4053 c=9.4053 alpha=95.79 beta=80.98 gamma=80.98
Fractional positions:
1 Tm 0.6835 0.2216 0.0476
2 Tm 0.2295 0.4614 0.0604
3 Tb 0.2500 0.1203 0.8797
4 Tm 0.3165 0.7784 0.9524
5 Ho 0.1303 0.6168 0.6651
6 Tm 0.4979 0.3506 0.7219
7 Ho 0.6303 0.6651 0.6168
8 Tm 0.5021 0.6494 0.2781
9 Tm 0.1835 0.0476 0.2216
10 Tm 0.7295 0.0604 0.4614
11 Tm 0.9979 0.7219 0.3506
12 Tm 0.8165 0.9524 0.7784
13 Tb 0.7500 0.8797 0.1203
14 Tm 0.7705 0.5386 0.9396
15 Ho 0.3697 0.3349 0.3832
16 Ho 0.8697 0.3832 0.3349
17 Tm 0.0021 0.2781 0.6494
18 Tm 0.2705 0.9396 0.5386

Output
For the energy relative to the lowest polymorph listed for this composition, the calculation gives 59 meV per atom. Its final energy is -4.4076 eV per atom. Its formation energy from the elements is 0.105 eV per atom. Its space group is C2/c, No. 15.

2.
A relaxed structure of TbHoTm. Source: Alexandria, functional GGA-PBE.

Unit cell a=3.5028 b=6.7125 c=8.5649 alpha=76.12 beta=78.19 gamma=74.90
Fractional positions:
1 Tm 0.5560 0.7354 0.6929
2 Ho 0.5699 0.0678 0.3343
3 Tb 0.0348 0.4448 0.0264
4 Tm 0.3024 0.9153 0.0218
5 Tb 0.8237 0.2060 0.6882
6 Ho 0.2886 0.5830 0.3804

Output
For the energy relative to the lowest polymorph listed for this composition, the calculation gives 15 meV per atom. Its final energy is -4.5226 eV per atom. Its formation energy from the elements is 0.037 eV per atom. Its space group is C2/m, No. 12.

3.
A relaxed structure of TbHoTm2. Source: Alexandria, functional GGA-PBE.

Unit cell a=6.6221 b=6.6221 c=6.6221 alpha=148.58 beta=124.09 gamma=65.56
Fractional positions:
1 Tm 0.8337 0.7504 0.0833
2 Tm 0.3329 0.2496 0.0833
3 Tb 0.4172 0.0000 0.4172
4 Ho 0.9165 0.5000 0.4165

Output
For the energy relative to the lowest polymorph listed for this composition, the calculation gives 0 meV per atom. Its final energy is -4.5331 eV per atom. Its formation energy from the elements is 0.005 eV per atom. Its space group is Imm2, No. 44.

4.
A relaxed structure of Tb4Ho4Tm3. Source: Alexandria, functional GGA-PBE.

Unit cell a=3.4917 b=5.5368 c=17.8863 alpha=81.07 beta=84.39 gamma=90.00
Fractional positions:
1 Tb 0.6804 0.1801 0.6403
2 Tb 0.4539 0.4535 0.0917
3 Tb 0.5462 0.5466 0.9083
4 Tm 0.0000 0.0000 0.0000
5 Ho 0.7329 0.7332 0.5338
6 Ho 0.4097 0.9091 0.1804
7 Ho 0.2672 0.2669 0.4662
8 Tm 0.1368 0.6368 0.7270
9 Ho 0.5903 0.0909 0.8196
10 Tm 0.8632 0.3632 0.2730
11 Tb 0.3197 0.8200 0.3597

Output
For the energy relative to the lowest polymorph listed for this composition, the calculation gives 0 meV per atom. Its final energy is -4.5097 eV per atom. Its formation energy from the elements is 0.058 eV per atom. Its space group is P-1, No. 2.

5.
A relaxed structure of TbHoTm2. Source: Alexandria, functional GGA-PBE.

Unit cell a=6.8652 b=6.8785 c=12.8380 alpha=122.43 beta=90.00 gamma=90.00
Fractional positions:
1 Tm 0.1245 0.5128 0.8882
2 Tm 0.8755 0.4872 0.1118
3 Tm 0.3747 0.5129 0.3882
4 Tm 0.3747 0.9871 0.1118
5 Tm 0.6253 0.4871 0.6118
6 Tb 0.6249 0.5128 0.8871
7 Tb 0.6249 0.9872 0.6129
8 Tb 0.3751 0.0128 0.3871
9 Tm 0.6253 0.0129 0.8882
10 Tm 0.1245 0.9872 0.6118
11 Ho 0.1249 0.4883 0.6130
12 Ho 0.8751 0.5117 0.3870
13 Tb 0.3751 0.4872 0.1129
14 Ho 0.8751 0.9883 0.1130
15 Tm 0.8755 0.0128 0.3882
16 Ho 0.1249 0.0117 0.8870

Output
For the energy relative to the lowest polymorph listed for this composition, the calculation gives 210 meV per atom. Its final energy is -4.3235 eV per atom. Its formation energy from the elements is 0.214 eV per atom. Its space group is P2/c, No. 13.

6.
A relaxed structure of Tb3Ho4Tm8. Source: Alexandria, functional GGA-PBE.

Unit cell a=6.8415 b=6.8415 c=12.2455 alpha=73.78 beta=73.78 gamma=60.00
Fractional positions:
1 Tm 0.7548 0.7548 0.7357
2 Tm 0.2495 0.2495 0.7497
3 Ho 0.5000 0.5000 0.5000
4 Tm 0.7505 0.7505 0.2503
5 Tm 0.2486 0.7505 0.2503
6 Tb 0.5000 0.0000 0.5000
7 Ho 0.6636 0.6636 0.0093
8 Tb 0.0000 0.5000 0.5000
9 Tm 0.7514 0.2495 0.7497
10 Ho 0.0000 0.0000 0.0000
11 Tb 0.0000 0.0000 0.5000
12 Ho 0.3364 0.3364 0.9907
13 Tm 0.2495 0.7514 0.7497
14 Tm 0.7505 0.2486 0.2503
15 Tm 0.2452 0.2452 0.2643

Output
For the energy relative to the lowest polymorph listed for this composition, the calculation gives 0 meV per atom. Its final energy is -4.3839 eV per atom. Its formation energy from the elements is 0.148 eV per atom. Its space group is R-3m, No. 166.

7.
A relaxed structure of Tb2Ho2Tm. Source: Alexandria, functional GGA-PBE.

Unit cell a=9.1970 b=9.1970 c=3.7012 alpha=90.00 beta=90.00 gamma=90.00
Fractional positions:
1 Ho 0.8297 0.6703 0.5000
2 Ho 0.3297 0.8297 0.5000
3 Tb 0.8713 0.3713 0.0000
4 Tb 0.6287 0.8713 0.0000
5 Tm 0.5000 0.5000 0.0000
6 Tm 0.0000 0.0000 0.0000
7 Ho 0.6703 0.1703 0.5000
8 Ho 0.1703 0.3297 0.5000
9 Tb 0.3713 0.1287 0.0000
10 Tb 0.1287 0.6287 0.0000

Output
For the energy relative to the lowest polymorph listed for this composition, the calculation gives 0 meV per atom. Its final energy is -4.4770 eV per atom. Its formation energy from the elements is 0.100 eV per atom. Its space group is P4/mbm, No. 127.

8.
A relaxed structure of Tb4Ho10Tm. Source: Alexandria, functional GGA-PBE.

Unit cell a=7.6257 b=9.3461 c=9.3461 alpha=80.42 beta=65.92 gamma=65.92
Fractional positions:
1 Ho 0.8501 0.7012 0.1009
2 Tb 0.3993 0.8018 0.3997
3 Ho 0.9510 0.8991 0.7012
4 Ho 0.5512 0.1009 0.2988
5 Tb 0.6007 0.1982 0.6003
6 Ho 0.7500 0.5000 0.5000
7 Ho 0.3479 0.7012 0.1009
8 Tb 0.2011 0.3997 0.1982
9 Ho 0.2500 0.5000 0.5000
10 Tm 0.0000 0.0000 0.0000
11 Ho 0.6521 0.2988 0.8991
12 Ho 0.4488 0.8991 0.7012
13 Tb 0.7989 0.6003 0.8018
14 Ho 0.1499 0.2988 0.8991
15 Ho 0.0490 0.1009 0.2988

Output
Its final energy is -3.8518 eV per atom. Its formation energy from the elements is 0.733 eV per atom. Its space group is I4/m, No. 87.